(1)
This record from Alexandria describes crystalline TlTe2Pd4 at its relaxed geometry. The functional is PBE.

The structure belongs to space group P4_2/mnm (No. 136); the cell edges are 8.746, 8.746 and 3.876 Å and the angles 90.00°, 90.00° and 90.00°. The asymmetric unit holds Tl at (0.000, 0.000, 0.000), Te at (0.225, 0.225, 0.500) and Pd at (0.070, 0.661, 0.500).

Its raw total energy is -4.430 eV per atom. The uncorrected formation energy is -0.227 eV per atom. As for the density of states at the Fermi level: 0.800 states/eV/atom. As for the total magnetization: 0.000 μB per formula unit.

***

(2)
This record from Alexandria describes crystalline Ca3Gd at its relaxed geometry. The functional is PBE.

The structure belongs to space group I4/mmm (No. 139); the cell edges are 5.995, 5.995 and 8.660 Å and the angles 90.00°, 90.00° and 90.00°. The asymmetric unit holds Ca at (0.000, 0.000, 0.000), Ca at (0.000, 0.500, 0.250) and Gd at (0.000, 0.000, 0.500).

The energy above the most stable polymorph in this dataset is 0.028 eV/atom. Its raw total energy is -4.907 eV per atom. As for the density of states at the Fermi level: 2.123 states/eV/atom. As for the total magnetization: 8.015 μB per formula unit.

***

(3)
This record from Alexandria describes crystalline ScV3Te6 at its relaxed geometry. The functional is PBE.

The structure belongs to space group P2_1/m (No. 11); the cell edges are 11.426, 3.826 and 11.670 Å and the angles 90.00°, 111.05° and 90.00°. The asymmetric unit holds Sc at (0.061, 0.250, 0.198), V at (0.115, 0.250, 0.561), V at (0.319, 0.750, 0.991), V at (0.460, 0.250, 0.384), Te at (0.093, 0.750, 0.397), Te at (0.121, 0.250, 0.971), Te at (0.181, 0.750, 0.742), Te at (0.294, 0.750, 0.230), Te at (0.367, 0.250, 0.565) and Te at (0.488, 0.250, 0.121).

Its raw total energy is -5.632 eV per atom. The uncorrected formation energy is -0.378 eV per atom. As for the density of states at the Fermi level: 0.633 states/eV/atom. As for the total magnetization: 1.704 μB per formula unit.